Record 1
4
Lattice="-0.987 0.110 -5.002 3.099 -3.989 -0.700 -2.054 -1.660 0.369" Properties=species:S:1:pos:R:3 comment="Ag2PW | the Alexandria database | PBE | relaxed" formation_enthalpy_0k_ev_per_atom=0.929 spacegroup="P4/mmm (123)" pbc="T T T"
Ag 1.056 -1.939 -2.851
P -1.521 -0.775 -2.317
W 0.523 -2.825 -0.166
Ag 0.000 0.000 0.000

Record 2
5
Lattice="-3.889 1.635 2.111 -0.684 -4.215 2.005 2.582 1.347 3.711" Properties=species:S:1:pos:R:3 comment="Ir4Pt | the Alexandria database | PBE | relaxed" formation_enthalpy_0k_ev_per_atom=2.490 spacegroup="Pm-3m (221)" pbc="T T T"
Ir 0.000 0.000 0.000
Ir -2.286 -1.290 2.058
Pt -0.995 -0.616 3.914
Ir 0.949 -1.434 2.858
Ir -0.654 1.491 2.911

Record 3
11
Lattice="3.998 0.000 -0.849 -0.129 9.825 -0.607 0.061 0.074 10.123" Properties=species:S:1:pos:R:3 comment="Ac8Cu2Ni | the Alexandria database | PBE | relaxed" formation_enthalpy_0k_ev_per_atom=-0.063 spacegroup="C2/m (12)" pbc="T T T"
Cu 0.564 7.285 2.653
Ac 3.922 7.872 8.628
Ac 3.031 6.659 4.435
Ac 2.320 5.121 1.085
Ni 1.999 0.000 -0.425
Ac 0.899 3.239 4.232
Cu 3.367 2.613 6.014
Ac 1.611 4.778 7.582
Ac 1.418 0.167 6.677
Ac 0.008 2.027 0.039
Ac 2.512 9.732 1.989

Record 4
14
Lattice="-1.537 -2.091 6.690 5.302 -1.452 4.612 1.271 8.527 6.805" Properties=species:S:1:pos:R:3 comment="RbMg3Sn3 | the Alexandria database | PBE | relaxed" formation_enthalpy_0k_ev_per_atom=-0.072 spacegroup="R-3 (148)" pbc="T T T"
Sn -0.061 0.127 8.444
Sn 3.694 0.843 6.135
Mg 0.012 3.255 9.402
Sn 1.126 5.473 7.715
Sn 3.910 -0.489 10.392
Rb 1.255 -0.936 3.844
Sn 1.343 4.141 11.971
Sn 5.097 4.857 9.662
Mg 3.864 2.647 11.322
Mg 5.024 1.729 8.705
Rb 3.781 5.920 14.262
Mg 1.354 1.039 10.929
Mg 3.682 3.945 7.177
Mg 1.172 2.337 6.784

The following E values (in eV per atom) correspond, in order, to the records above: -5.087; -5.807; -4.322; -2.609.